[1]
Material: TaCo2Ni
Method: DFT, PBE-GGA
State: optimized geometry

abc: 2.715 2.715 6.896
angles: 90.00 90.00 89.97
Fractional coordinates of all 4 atoms:
1 Co 0.000 0.000 0.031
2 Co 0.500 0.500 0.243
3 Ni 0.000 0.000 0.474
4 Ta 0.500 0.500 0.751

Values from the calculation:
Energy relative to the lowest polymorph listed for this composition (kJ/mol of formula units): 106.0
Total magnetization (μB/f.u.): 3.3
ρ (g/cm3): 11.68
Total energy (eV per atom): -7.968
Energy relative to the elements (eV/atom): -0.01
Space group: P4mm (99)



[2]
Material: Sc6Sb2O
Method: DFT, PBE-GGA
State: optimized geometry

abc: 3.497 8.037 7.889
angles: 120.62 90.00 90.00
Fractional coordinates of all 9 atoms:
1 Sc 0.500 0.599 0.000
2 Sc 0.000 0.265 0.000
3 Sc 0.000 0.006 0.220
4 Sc 0.000 0.785 0.780
5 Sc 0.500 0.024 0.598
6 Sc 0.500 0.426 0.402
7 O 0.500 0.854 0.000
8 Sb 0.000 0.691 0.340
9 Sb 0.000 0.351 0.660

Values from the calculation:
Formation energy without anion corrections (eV/atom): -0.9664
Total magnetization (μB/f.u.): 0.0
ρ (g/cm3): 4.61
Total energy (eV per atom): -6.654
Space group: Amm2 (38)



[3]
Material: SrPt3I
Method: DFT, PBE-GGA
State: optimized geometry

abc: 5.302 5.302 5.302
angles: 90.00 90.00 90.00
Fractional coordinates of all 5 atoms:
1 Pt 0.000 0.500 0.000
2 Pt 0.000 0.000 0.500
3 Pt 0.500 0.000 0.000
4 Sr 0.000 0.000 0.000
5 I 0.500 0.500 0.500

Values from the calculation:
Energy relative to the lowest polymorph listed for this composition (kJ/mol of formula units): 578.3
Formation energy without anion corrections (eV/atom): 1.4138
Total magnetization (μB/f.u.): 0.0
ρ (g/cm3): 8.91
Total energy (eV per atom): -2.857
Space group: Pm-3m (221)